## Ac2TlMoO6 (PBE+U)

Data for Ac2TlMoO6 after structural relaxation.

Unit cell a=5.783 b=5.783 c=5.858 alpha=90.00 beta=90.00 gamma=90.00
Space group P4mm (No. 99)
Unique sites:
Ac: 0.000 0.500 0.000 (multiplicity 2)
Tl: 0.000 0.000 0.528 (multiplicity 1)
Mo: 0.500 0.500 0.631 (multiplicity 1)
O: 0.000 0.000 0.106 (multiplicity 1)
O: 0.280 0.280 0.770 (multiplicity 4)
O: 0.500 0.500 0.318 (multiplicity 1)

Computed properties:
The value obtained for the total energy is -6.955 eV/atom. The total magnetic moment is 0.10 μB per atom.